The following is a meta-GGA SCAN calculation of a crystal of Li3Cu2O4 relaxed with PBEsol, from Alexandria via LeMat-Bulk.

abc: 4.598 9.306 4.620
angles: 90.00 105.97 90.00
Space group C2 (No. 5)
Unique sites:
Li (0.000, 0.000, 0.000)
Li (0.000, 0.078, 0.500)
Li (0.000, 0.498, 0.500)
Cu (0.000, 0.287, 0.000)
Cu (0.000, 0.781, 0.500)
O (0.237, 0.148, 0.266)
O (0.240, 0.919, 0.736)

Properties
Its formation energy without anion corrections is -1.444 eV per atom.


The following is a meta-GGA SCAN calculation of a crystal of Na2Ti3CrP6O24 relaxed with PBEsol, from Alexandria via LeMat-Bulk.

abc: 8.5146 8.5146 21.6832
angles: 90.00 90.00 120.00
Space group R3 (No. 146, hexagonal axes)
Unique sites:
Na (0.0000, 0.0000, 0.0000)
Na (0.0000, 0.0000, 0.4991)
Ti (0.0000, 0.0000, 0.3556)
Ti (0.0000, 0.0000, 0.6434)
Ti (0.0000, 0.0000, 0.8558)
Cr (0.0000, 0.0000, 0.1433)
P (0.0019, 0.7166, 0.2482)
P (0.0047, 0.2913, 0.7500)
O (0.0225, 0.1909, 0.4122)
O (0.0219, 0.8268, 0.1895)
O (0.0249, 0.1987, 0.6918)
O (0.0273, 0.8340, 0.9116)
O (0.1556, 0.4719, 0.4743)
O (0.1584, 0.6847, 0.9733)
O (0.1725, 0.6988, 0.2524)
O (0.1754, 0.4801, 0.7535)

Properties
Its formation energy without anion corrections is -2.708 eV per atom.


The following is a meta-GGA SCAN calculation of a crystal of K4ZrRh relaxed with PBEsol, from Alexandria via LeMat-Bulk.

abc: 9.188 9.188 9.188
angles: 90.00 90.00 90.00
Space group F-43m (No. 216)
Unique sites:
K (0.123, 0.123, 0.377)
Zr (0.000, 0.000, 0.000)
Rh (0.250, 0.250, 0.750)

Properties
The electronic total energy is -15.038 eV/atom.


The following is a meta-GGA SCAN calculation of a crystal of CaMg relaxed with PBEsol, from Alexandria via LeMat-Bulk.

abc: 7.739 7.739 7.739
angles: 90.00 90.00 90.00
Space group Fd-3m (No. 227, origin choice 2)
Unique sites:
Ca (0.125, 0.125, 0.125)
Mg (0.125, 0.125, 0.625)

Properties
The electronic total energy is -7.326 eV/atom.


The following is a meta-GGA SCAN calculation of a crystal of LaTaCu relaxed with PBEsol, from Alexandria via LeMat-Bulk.

abc: 2.9950 2.9950 7.5886
angles: 90.00 90.00 120.00
Space group P3m1 (No. 156)
Unique sites:
La (0.0000, 0.0000, 0.0000)
Ta (0.3333, 0.6667, 0.6146)
Cu (0.6667, 0.3333, 0.3473)

Properties
The electronic total energy is -41.044 eV/atom.


The following is a meta-GGA SCAN calculation of a crystal of GaP2Ir relaxed with PBEsol, from Alexandria via LeMat-Bulk.

abc: 5.455 5.455 10.201
angles: 90.00 90.00 90.00
Space group I-42d (No. 122)
Unique sites:
Ga (0.000, 0.000, 0.000)
P (0.231, 0.250, 0.625)
Ir (0.000, 0.000, 0.500)

Properties
The electronic total energy is -27.356 eV/atom.


The following is a meta-GGA SCAN calculation of a crystal of Al3PdCl relaxed with PBEsol, from Alexandria via LeMat-Bulk.

abc: 4.744 4.744 4.744
angles: 90.00 90.00 90.00
Space group Pm-3m (No. 221)
Unique sites:
Al (0.000, 0.000, 0.500)
Pd (0.000, 0.000, 0.000)
Cl (0.500, 0.500, 0.500)

Properties
Its formation energy without anion corrections is -0.454 eV per atom.


The following is a meta-GGA SCAN calculation of a crystal of Zr4Os2C relaxed with PBEsol, from Alexandria via LeMat-Bulk.

abc: 12.366 12.366 12.366
angles: 90.00 90.00 90.00
Space group Fd-3m (No. 227, origin choice 2)
Unique sites:
Zr (0.000, 0.000, 0.000)
Zr (0.062, 0.375, 0.875)
Os (0.041, 0.041, 0.209)
C (0.000, 0.000, 0.500)

Properties
The electronic total energy is -40.169 eV/atom.


The following is a meta-GGA SCAN calculation of a crystal of Ba2ZrIn relaxed with PBEsol, from Alexandria via LeMat-Bulk.

abc: 3.7102 3.7102 34.4915
angles: 90.00 90.00 120.00
Space group R3m (No. 160, hexagonal axes)
Unique sites:
Ba (0.0000, 0.0000, 0.0000)
Ba (0.0000, 0.0000, 0.2236)
Zr (0.0000, 0.0000, 0.4748)
In (0.0000, 0.0000, 0.7458)

Properties
The electronic total energy is -35.549 eV/atom.


The following is a meta-GGA SCAN calculation of a crystal of Tc3IBr relaxed with PBEsol, from Alexandria via LeMat-Bulk.

abc: 4.866 4.866 4.866
angles: 90.00 90.00 90.00
Space group Pm-3m (No. 221)
Unique sites:
Tc (0.000, 0.000, 0.500)
I (0.000, 0.000, 0.000)
Br (0.500, 0.500, 0.500)

Properties
Its formation energy without anion corrections is 2.199 eV per atom.


The following is a meta-GGA SCAN calculation of a crystal of MnWBr2 relaxed with PBEsol, from Alexandria via LeMat-Bulk.

abc: 3.014 5.669 9.225
angles: 90.00 90.00 90.00
Space group Cmmm (No. 65)
Unique sites:
Mn (0.000, 0.000, 0.000)
W (0.000, 0.000, 0.500)
Br (0.000, 0.500, 0.273)

Properties
Its formation energy without anion corrections is 0.737 eV per atom.


The following is a meta-GGA SCAN calculation of a crystal of CoAuSe relaxed with PBEsol, from Alexandria via LeMat-Bulk.

abc: 2.845 2.845 11.601
angles: 90.00 90.00 90.00
Space group I4mm (No. 107)
Unique sites:
Co (0.000, 0.000, 0.000)
Au (0.000, 0.000, 0.663)
Se (0.000, 0.000, 0.394)

Properties
Its formation energy without anion corrections is 0.225 eV per atom.


The following is a meta-GGA SCAN calculation of a crystal of AlSb2P relaxed with PBEsol, from Alexandria via LeMat-Bulk.

abc: 6.921 6.921 6.921
angles: 90.00 90.00 90.00
Space group Fm-3m (No. 225)
Unique sites:
Al (0.000, 0.000, 0.000)
Sb (0.250, 0.250, 0.250)
P (0.000, 0.000, 0.500)

Properties
Its formation energy without anion corrections is 0.465 eV per atom.


The following is a meta-GGA SCAN calculation of a crystal of Mg3Mo relaxed with PBEsol, from Alexandria via LeMat-Bulk.

abc: 5.784 8.932 2.837
angles: 90.00 90.00 90.00
Space group Cmmm (No. 65)
Unique sites:
Mg (0.000, 0.000, 0.000)
Mg (0.250, 0.250, 0.500)
Mo (0.000, 0.500, 0.000)

Properties
The electronic total energy is -12.141 eV/atom.


The following is a meta-GGA SCAN calculation of a crystal of KCu2Ag relaxed with PBEsol, from Alexandria via LeMat-Bulk.

abc: 2.894 3.362 7.702
angles: 90.00 90.00 90.00
Space group Pmm2 (No. 25)
Unique sites:
K (0.000, 0.000, 0.000)
Cu (0.000, 0.000, 0.543)
Cu (0.500, 0.500, 0.681)
Ag (0.500, 0.500, 0.342)

Properties
The electronic total energy is -17.190 eV/atom.


The following is a meta-GGA SCAN calculation of a crystal of Sc2SiP relaxed with PBEsol, from Alexandria via LeMat-Bulk.

abc: 3.175 3.175 7.047
angles: 90.00 90.00 90.00
Space group P4mm (No. 99)
Unique sites:
Sc (0.000, 0.000, 0.000)
Sc (0.500, 0.500, 0.380)
Si (0.000, 0.000, 0.616)
P (0.500, 0.500, 0.779)

Properties
Its formation energy without anion corrections is -0.387 eV per atom.


The following is a meta-GGA SCAN calculation of a crystal of TlOsCl3 relaxed with PBEsol, from Alexandria via LeMat-Bulk.

abc: 4.785 4.785 4.785
angles: 90.00 90.00 90.00
Space group Pm-3m (No. 221)
Unique sites:
Tl (0.000, 0.000, 0.000)
Os (0.500, 0.500, 0.500)
Cl (0.000, 0.500, 0.500)

Properties
Its formation energy without anion corrections is -0.174 eV per atom.


The following is a meta-GGA SCAN calculation of a crystal of Mg4SbP relaxed with PBEsol, from Alexandria via LeMat-Bulk.

abc: 7.990 7.990 7.990
angles: 90.00 90.00 90.00
Space group F-43m (No. 216)
Unique sites:
Mg (0.125, 0.125, 0.125)
Sb (0.250, 0.250, 0.750)
P (0.000, 0.000, 0.500)

Properties
Its formation energy without anion corrections is 0.191 eV per atom.


The following is a meta-GGA SCAN calculation of a crystal of K2YRh relaxed with PBEsol, from Alexandria via LeMat-Bulk.

abc: 7.609 7.609 7.609
angles: 90.00 90.00 90.00
Space group Fm-3m (No. 225)
Unique sites:
K (0.250, 0.250, 0.250)
Y (0.000, 0.000, 0.000)
Rh (0.000, 0.000, 0.500)

Properties
The electronic total energy is -18.580 eV/atom.


The following is a meta-GGA SCAN calculation of a crystal of CdSbSe2 relaxed with PBEsol, from Alexandria via LeMat-Bulk.

abc: 3.985 4.176 5.777
angles: 90.00 90.00 90.00
Space group Pmmm (No. 47)
Unique sites:
Cd (0.000, 0.000, 0.000)
Sb (0.500, 0.500, 0.500)
Se (0.000, 0.000, 0.500)
Se (0.500, 0.500, 0.000)

Properties
Its formation energy without anion corrections is -0.304 eV per atom.